(1)
Computed, not measured: crystalline HfSb2OsI at its relaxed geometry at the GGA-PBE level of DFT.

Cell and atoms, written as CIF:
```
data_HfSb2OsI
_chemical_formula_sum 'Hf1 Sb2 Os1 I1'
_symmetry_space_group_name_H-M 'P 1'
_symmetry_Int_Tables_number 1
_cell_length_a 5.087
_cell_length_b 5.087
_cell_length_c 5.446
_cell_angle_alpha 90.00
_cell_angle_beta 90.00
_cell_angle_gamma 90.00
loop_
_symmetry_equiv_pos_as_xyz
'x,y,z'
loop_
_atom_site_label
_atom_site_type_symbol
_atom_site_fract_x
_atom_site_fract_y
_atom_site_fract_z
I1 I 0.000 0.000 0.500
Hf1 Hf 0.500 0.500 0.500
Os1 Os 0.000 0.000 0.000
Sb1 Sb 0.000 0.500 0.000
Sb2 Sb 0.500 0.000 0.000
```

## Properties
- energy relative to the elements, uncorrected (kcal/mol of atoms) = 23.12
- symmetry = P4/mmm
- calculated volume (Å³ per cell) = 140.93
- N(E_F) (states/eV/cell) = 6.3
- M_tot (μB per atom) = 0.186
- raw total energy (eV/atom) = -5.193

(2)
Computed, not measured: crystalline CsLiIrF6 at its relaxed geometry at the GGA-PBE level of DFT.

Cell and atoms, written as CIF:
```
data_CsLiIrF6
_chemical_formula_sum 'Cs1 Li1 Ir1 F6'
_symmetry_space_group_name_H-M 'P 1'
_symmetry_Int_Tables_number 1
_cell_length_a 5.414
_cell_length_b 5.414
_cell_length_c 6.610
_cell_angle_alpha 90.00
_cell_angle_beta 90.00
_cell_angle_gamma 59.99
loop_
_symmetry_equiv_pos_as_xyz
'x,y,z'
loop_
_atom_site_label
_atom_site_type_symbol
_atom_site_fract_x
_atom_site_fract_y
_atom_site_fract_z
Cs1 Cs 0.000 0.000 0.000
Li1 Li 0.667 0.667 0.500
Ir1 Ir 0.333 0.333 0.500
F1 F 0.018 0.358 0.334
F2 F 0.358 0.018 0.666
F3 F 0.623 0.358 0.666
F4 F 0.018 0.623 0.666
F5 F 0.358 0.623 0.334
F6 F 0.623 0.018 0.334
```

## Properties
- energy relative to the elements, uncorrected (kcal/mol of atoms) = -50.33
- symmetry = P312
- calculated volume (Å³ per cell) = 167.77
- N(E_F) (states/eV/cell) = 10.3
- M_tot (μB per atom) = 0.112
- raw total energy (eV/atom) = -4.722

(3)
Computed, not measured: crystalline Tl2Hg2Te3 at its relaxed geometry at the GGA-PBE level of DFT.

Cell and atoms, written as CIF:
```
data_Tl2Hg2Te3
_chemical_formula_sum 'Tl2 Hg2 Te3'
_symmetry_space_group_name_H-M 'P 1'
_symmetry_Int_Tables_number 1
_cell_length_a 4.794
_cell_length_b 7.915
_cell_length_c 8.586
_cell_angle_alpha 124.29
_cell_angle_beta 106.21
_cell_angle_gamma 90.00
loop_
_symmetry_equiv_pos_as_xyz
'x,y,z'
loop_
_atom_site_label
_atom_site_type_symbol
_atom_site_fract_x
_atom_site_fract_y
_atom_site_fract_z
Tl1 Tl 0.662 0.781 0.323
Tl2 Tl 0.338 0.219 0.677
Hg1 Hg 0.859 0.614 0.717
Hg2 Hg 0.141 0.386 0.283
Te1 Te 0.000 0.500 0.000
Te2 Te 0.348 0.799 0.696
Te3 Te 0.652 0.201 0.304
```

## Properties
- energy relative to the elements, uncorrected (kcal/mol of atoms) = -3.71
- symmetry = C2/m
- calculated volume (Å³ per cell) = 253.33
- N(E_F) (states/eV/cell) = 0.3
- M_tot (μB per atom) = 0.000
- raw total energy (eV/atom) = -2.270

(4)
Computed, not measured: crystalline Ba2OsCl at its relaxed geometry at the GGA-PBE level of DFT.

Cell and atoms, written as CIF:
```
data_Ba2OsCl
_chemical_formula_sum 'Ba2 Os1 Cl1'
_symmetry_space_group_name_H-M 'P 1'
_symmetry_Int_Tables_number 1
_cell_length_a 5.534
_cell_length_b 5.534
_cell_length_c 5.534
_cell_angle_alpha 60.00
_cell_angle_beta 60.00
_cell_angle_gamma 60.00
loop_
_symmetry_equiv_pos_as_xyz
'x,y,z'
loop_
_atom_site_label
_atom_site_type_symbol
_atom_site_fract_x
_atom_site_fract_y
_atom_site_fract_z
Os1 Os 0.500 0.500 0.500
Ba1 Ba 0.250 0.250 0.250
Ba2 Ba 0.750 0.750 0.750
Cl1 Cl 0.000 0.000 0.000
```

## Properties
- energy relative to the elements, uncorrected (kcal/mol of atoms) = -2.34
- symmetry = Fm-3m
- calculated volume (Å³ per cell) = 119.81
- N(E_F) (states/eV/cell) = 4.7
- M_tot (μB per atom) = 0.250
- raw total energy (eV/atom) = -4.332

> raw total energy of number 3 (Tl2Hg2Te3)?

-2.270 eV/atom